Material: ZnIn3I
Method: DFT, GGA-PBE
State: relaxed

Unit cell a=5.4091 b=5.4091 c=5.4091 alpha=90.00 beta=90.00 gamma=90.00
With the nearest neighbours (Å) after each atom.
Space group Pm-3m (No. 221)
One atom of each set of equivalent atoms:
Zn 0.0000 0.0000 0.0000 (multiplicity 1)  6 In 2.70
In 0.0000 0.0000 0.5000 (multiplicity 3)  2 Zn 2.70
I 0.5000 0.5000 0.5000 (multiplicity 1)  12 In 3.82

Properties
Offset from the most stable computed form   0 meV per atom
Raw total energy   -10.967 eV per formula unit
Crystal system   cubic
V   31.7 Å³/atom